Record 1
DFT (PBE) results for a geometry-optimized ZnCo structure.

Cell: 7.224 7.224 3.843 Å, 90.00 90.00 120.00°
Each line ends with the local moment (μB).
Atoms (fractional coordinates):
Zn (0.817, 0.634, 0.250)  -0.04
Zn (0.183, 0.817, 0.750)  -0.04
Zn (0.366, 0.183, 0.250)  -0.04
Zn (0.183, 0.366, 0.750)  -0.04
Zn (0.817, 0.183, 0.250)  -0.04
Zn (0.634, 0.817, 0.750)  -0.04
Co (0.442, 0.885, 0.250)  1.23
Co (0.558, 0.442, 0.750)  1.23
Co (0.115, 0.558, 0.250)  1.23
Co (0.558, 0.115, 0.750)  1.23
Co (0.442, 0.558, 0.250)  1.23
Co (0.885, 0.442, 0.750)  1.23

Results
The energy of formation is 0.139 eV per atom. For the density, the calculation gives 7133 kg/m3. The space group is P6_3/mmc, No. 194.


Record 2
DFT (PBE) results for a geometry-optimized ZnCo structure.

Cell: 3.996 3.996 7.667 Å, 90.00 90.00 120.00°
Each line ends with the local moment (μB).
Atoms (fractional coordinates):
Zn (0.333, 0.667, 0.081)  -0.04
Zn (0.667, 0.333, 0.581)  -0.04
Zn (0.667, 0.333, 0.919)  -0.04
Zn (0.333, 0.667, 0.419)  -0.04
Co (0.000, 0.000, 0.250)  1.50
Co (0.000, 0.000, 0.750)  1.50
Co (0.333, 0.667, 0.750)  1.13
Co (0.667, 0.333, 0.250)  1.13

Results
The energy of formation is 0.135 eV per atom. For the density, the calculation gives 7790 kg/m3. The space group is P6_3/mmc, No. 194.


Record 3
DFT (PBE) results for a geometry-optimized Zn5Co structure.

Cell: 4.916 4.916 4.916 Å, 60.00 60.00 60.00°
Each line ends with the local moment (μB).
Atoms (fractional coordinates):
Zn (0.877, 0.374, 0.374)  0.00
Zn (0.750, 0.750, 0.750)  0.00
Zn (0.374, 0.877, 0.374)  0.00
Zn (0.374, 0.374, 0.374)  0.00
Zn (0.374, 0.374, 0.877)  0.00
Co (0.000, 0.000, 0.000)  0.64

Results
The energy of formation is 0.165 eV per atom. For the density, the calculation gives 7627 kg/m3. The space group is F-43m, No. 216.


Which of these has the highest energy of formation? Zn5Co


Among the records above, which one has the highest energy of formation? Zn5Co